i:
Here is AcPuFe after structural relaxation from OQMD. Energies are from PBE-GGA.

## Properties
Magnetic moment = 4.16 μB per cell
Space-group type = F-43m (216)

abc: 4.585 4.585 4.585
angles: 60.00 60.00 60.00
Last column: magnetic moment on the atom in μB.
Fractional positions:
Pu  0.250  0.250  0.250  5.51
Fe  0.000  0.000  0.000  -1.93
Ac  0.500  0.500  0.500  0.41

***

ii:
Here is AcPuFe after structural relaxation from OQMD. Energies are from PBE-GGA.

## Properties
Magnetic moment = 0.05 μB per cell
Space-group type = F-43m (216)

abc: 4.561 4.561 4.561
angles: 60.00 60.00 60.00
Fractional positions:
Fe  0.250  0.250  0.250
Ac  0.000  0.000  0.000
Pu  0.750  0.750  0.750

***

Quick one: least stable of them? ii

***

i:
Here is AcFeSb after structural relaxation from OQMD. Energies are from PBE-GGA.

## Properties
Magnetic moment = 2.00 μB per cell
Space-group type = F-43m (216)

abc: 4.812 4.812 4.812
angles: 60.00 60.00 60.00
Last column: magnetic moment on the atom in μB.
Fractional positions:
Sb  0.250  0.250  0.250  0.01
Ac  0.750  0.750  0.750  0.01
Fe  0.000  0.000  0.000  2.03

***

ii:
Here is AcFeSb after structural relaxation from OQMD. Energies are from PBE-GGA.

## Properties
Magnetic moment = 3.24 μB per cell
Space-group type = F-43m (216)

abc: 5.176 5.176 5.176
angles: 60.00 60.00 60.00
Fractional positions:
Sb  0.750  0.750  0.750
Fe  0.250  0.250  0.250
Ac  0.000  0.000  0.000

***

Quick one: least stable of them? ii